No. 1
Computed, not measured: a geometry-optimized Li3Mn3WS8 structure at the PBE-GGA level of DFT.

Unit cell a=6.9632 b=6.9484 c=7.3085 alpha=118.31 beta=90.00 gamma=120.07
Closest atoms and distances in Å follow each position.
Fractional coordinates of all 15 atoms:
W 0.0000 0.0000 0.5000  6 S 2.43
S 0.7438 0.4877 0.7316  3 Mn 2.45-2.46, 3 Li 2.59
S 0.7591 0.0171 0.2745  2 Mn 2.43-2.44, 1 W 2.43, 2 Li 2.61-2.62
S 0.2417 0.4833 0.7258  1 W 2.43, 2 Mn 2.44, 2 Li 2.61
S 0.7583 0.5167 0.2742  1 W 2.43, 2 Mn 2.44, 2 Li 2.61
S 0.7420 0.9829 0.7255  2 Mn 2.43-2.44, 1 W 2.43, 2 Li 2.61-2.62
S 0.2580 0.0171 0.2745  2 Mn 2.43-2.44, 1 W 2.43, 2 Li 2.61-2.62
S 0.2409 0.9829 0.7255  2 Mn 2.43-2.44, 1 W 2.43, 2 Li 2.61-2.62
S 0.2562 0.5123 0.2684  3 Mn 2.45-2.46, 3 Li 2.59
Li 0.0000 0.5000 0.0000  6 S 2.59-2.62
Li 0.5000 0.5000 0.0000  6 S 2.59-2.62
Li 0.0000 0.0000 0.0000  6 S 2.59-2.61
Mn 0.5000 0.5000 0.5000  6 S 2.43-2.46
Mn 0.5000 0.0000 0.5000  6 S 2.44-2.45
Mn 0.0000 0.5000 0.5000  6 S 2.43-2.46

Calculated values
DOS at the Fermi energy: 0.493 states/eV/atom
Total energy: -6.028 eV per atom


No. 2
Computed, not measured: a geometry-optimized Li2YMnS4 structure at the PBE-GGA level of DFT.

Unit cell a=3.7633 b=6.4033 c=6.4644 alpha=109.10 beta=90.00 gamma=90.00
Closest atoms and distances in Å follow each position.
Fractional coordinates of all 8 atoms:
Li 0.5000 0.0000 0.5000  6 S 2.56-2.61
Li 0.0000 0.5000 0.5000  6 S 2.73-2.79
S 0.5000 0.7720 0.7592  3 Li 2.56-2.73, 2 Mn 2.57, 1 Y 2.69
S 0.5000 0.2280 0.2408  3 Li 2.56-2.73, 2 Mn 2.57, 1 Y 2.69
S 0.0000 0.7758 0.2425  1 Mn 2.45, 2 Li 2.61, 2 Y 2.70
S 0.0000 0.2242 0.7575  1 Mn 2.45, 2 Li 2.61, 2 Y 2.70
Y 0.5000 0.5000 0.0000  6 S 2.69-2.70
Mn 0.0000 0.0000 0.0000  6 S 2.45-2.57

Calculated values
DOS at the Fermi energy: 0.210 states/eV/atom
Total energy: -5.800 eV per atom